Computed, not measured: an optimized crystal structure of BiIr2Os2 at the PBE-GGA level of DFT.

Cell and atoms, written as POSCAR:
```
BiIr2Os2
1.0
-4.3189 -0.6973 -6.4567
1.5268 -7.6458 -0.1955
-2.2830 -0.4963 1.5807
Ir Os Bi
4 4 2
direct
0.1736 0.6736 0.5000
0.8264 0.3264 0.5000
0.3264 0.1736 0.5000
0.6736 0.8264 0.5000
0.6185 0.1185 0.0000
0.8815 0.6185 0.0000
0.3815 0.8815 0.0000
0.1185 0.3815 0.0000
0.0000 0.0000 0.0000
0.5000 0.5000 0.0000
```

Output
- Calculated total energy: -8.29 eV/atom
- Volume: 171.58 Å³/cell

---

Computed, not measured: an optimized crystal structure of VGa5Ru6 at the PBE-GGA level of DFT.

Cell and atoms, written as POSCAR:
```
VGa5Ru6
1.0
-3.5300 -1.1556 2.1257
0.2510 -5.4750 -2.5600
5.2559 1.2110 5.0723
Ru Ga V
6 5 1
direct
0.5000 0.2526 0.0000
0.1667 0.9151 0.3332
0.5000 0.7474 0.0000
0.8333 0.0849 0.6668
0.8333 0.5819 0.6668
0.1667 0.4181 0.3332
0.6612 0.1612 0.3224
0.3318 0.3319 0.6638
0.6682 0.6681 0.3362
0.0000 0.5000 0.0000
0.3388 0.8388 0.6776
0.0000 0.0000 0.0000
```

Output
- Calculated total energy: -7.03 eV/atom
- Volume: 165.93 Å³/cell

---

Computed, not measured: an optimized crystal structure of DyHo2Pd at the PBE-GGA level of DFT.

Cell and atoms, written as POSCAR:
```
DyHo2Pd
1.0
-5.5200 -1.1790 3.1175
-2.1259 -4.0499 -5.2959
4.0319 -7.6626 4.2412
Pd Ho Dy
4 8 4
direct
0.5587 0.1104 0.7500
0.4413 0.8896 0.2500
0.0587 0.3896 0.2500
0.9413 0.6104 0.7500
0.1756 0.6811 0.0592
0.8244 0.3189 0.5592
0.3244 0.1811 0.0592
0.8244 0.3189 0.9408
0.6756 0.8189 0.9408
0.6756 0.8189 0.5592
0.1756 0.6811 0.4408
0.3244 0.1811 0.4408
0.1313 0.9780 0.7500
0.8687 0.0220 0.2500
0.6313 0.5220 0.2500
0.3687 0.4780 0.7500
```

Output
- Calculated total energy: -5.22 eV/atom
- Volume: 435.04 Å³/cell

---

Computed, not measured: an optimized crystal structure of TbPm3Sc2 at the PBE-GGA level of DFT.

Cell and atoms, written as POSCAR:
```
TbPm3Sc2
1.0
5.4998 0.0000 0.0000
0.0000 8.1757 -3.0785
0.0000 -0.1805 8.7342
Tb Sc Pm
2 4 6
direct
0.4930 0.2757 0.2757
0.9930 0.7243 0.7243
0.4930 0.6959 0.4881
0.9930 0.3041 0.5119
0.9930 0.5119 0.3041
0.4930 0.4881 0.6959
0.9930 0.8902 0.3753
0.9930 0.0941 0.0941
0.4930 0.9059 0.9059
0.4930 0.1098 0.6247
0.9930 0.3753 0.8902
0.4930 0.6247 0.1098
```

Output
- Calculated total energy: -4.99 eV/atom
- Volume: 389.68 Å³/cell

---

Computed, not measured: an optimized crystal structure of ReGePS2 at the PBE-GGA level of DFT.

Cell and atoms, written as POSCAR:
```
ReGePS2
1.0
4.4873 0.0000 0.0000
0.0000 4.4873 0.0000
0.0000 0.0000 4.5432
Ge P Re S
1 1 1 2
direct
0.0000 0.0000 0.0000
0.0000 0.0000 0.5000
0.5000 0.5000 0.5000
0.0000 0.5000 0.0000
0.5000 0.0000 0.0000
```

Output
- Raw formation energy: 1.48 eV per atom
- Volume: 91.48 Å³/cell

---

Computed, not measured: an optimized crystal structure of KLiCd2Ni at the PBE-GGA level of DFT.

Cell and atoms, written as POSCAR:
```
KLiCd2Ni
1.0
-4.8700 1.2640 -0.9062
-1.4831 -2.8778 3.9566
0.4508 3.8823 2.9927
Cd K Li Ni
2 1 1 1
direct
0.5000 0.0000 0.0000
0.0000 0.5000 0.0000
0.5000 0.5000 0.5000
0.0000 0.0000 0.5000
0.0000 0.0000 0.0000
```

Output
- Calculated total energy: -2.09 eV/atom
- Volume: 128.66 Å³/cell